Arrangement P

A geometry-optimized Ca4AlGa structure, computed with PBE.

Cell: 5.2769 5.2769 25.6811 Å, 90.00 90.00 120.00°
Closest atoms and distances in Å follow each position.
Space group R-3m (No. 166, hexagonal axes)
Asymmetric unit:
Ca (0.0000, 0.0000, 0.1232) x6  1 Ga 3.16, 3 Al 3.25
Ca (0.0000, 0.0000, 0.3729) x6  3 Ga 3.21, 1 Al 3.26
Al (0.0000, 0.0000, 0.5000) x3  8 Ca 3.25-3.26
Ga (0.0000, 0.0000, 0.0000) x3  8 Ca 3.16-3.21

Properties
Its size of the total moment is 6.28 μB per cell.

Arrangement Q

A geometry-optimized Ca4AlGa structure, computed with PBE.

Cell: 14.3449 14.3449 14.3449 Å, 90.00 90.00 90.00°
Closest atoms and distances in Å follow each position.
Space group F-43m (No. 216)
Asymmetric unit:
Ca (0.0000, 0.0000, 0.1923) x24  2 Ga 3.61, 10 Ca 3.61-3.90, 2 Al 3.65
Ca (0.0510, 0.2500, 0.2500) x24  2 Ga 3.03
Ca (0.1081, 0.1081, 0.6081) x16  3 Ga 3.07, 3 Al 3.37
Al (0.1795, 0.1795, 0.8205) x16  3 Al 2.86
Ga (0.1059, 0.1059, 0.3941) x16  6 Ca 3.03-3.07

Properties
Its size of the total moment is 0.00 μB per cell.

Verdict on stability: arrangement P comes out at the bottom.

Arrangement P

A geometry-optimized CaAlGa3 structure, computed with PBE.

Cell: 5.5496 5.5496 5.5496 Å, 90.00 90.00 90.00°
Closest atoms and distances in Å follow each position.
Space group Pm-3m (No. 221)
Asymmetric unit:
Ca (0.0000, 0.0000, 0.0000) x1  6 Ga 2.77
Al (0.5000, 0.5000, 0.5000) x1  12 Ga 3.92
Ga (0.0000, 0.0000, 0.5000) x3  2 Ca 2.77

Properties
Its size of the total moment is 0.00 μB per cell.

Arrangement Q

A geometry-optimized CaAlGa3 structure, computed with PBE.

Cell: 4.3741 4.3741 10.8484 Å, 90.00 90.00 90.00°
Closest atoms and distances in Å follow each position.
Space group I4mm (No. 107)
Asymmetric unit:
Ca (0.0000, 0.0000, 0.0000) x2  12 Ga 3.31-3.53, 4 Al 3.37
Al (0.0000, 0.0000, 0.3772) x2  5 Ga 2.51-2.62
Ga (0.0000, 0.0000, 0.6085) x2  1 Al 2.51, 4 Ga 2.64
Ga (0.0000, 0.5000, 0.2444) x4  2 Al 2.62, 2 Ga 2.64

Properties
Its size of the total moment is 0.00 μB per cell.

Verdict on stability: arrangement P comes out at the bottom.

Arrangement P

A geometry-optimized CaAl3Ga3 structure, computed with PBE.

Cell: 8.2037 8.2037 8.2037 Å, 90.00 90.00 90.00°
Closest atoms and distances in Å follow each position.
Space group P2_13 (No. 198)
Asymmetric unit:
Ca (0.0275, 0.4725, 0.5275) x4  6 Ga 3.06-3.20, 4 Al 3.06-3.20
Al (0.1304, 0.6304, 0.8696) x4  1 Al 2.58, 3 Ga 2.62
Al (0.1305, 0.8695, 0.3695) x4  6 Ga 2.76-2.77, 3 Al 3.04
Al (0.1879, 0.1879, 0.1879) x4  1 Al 2.58, 3 Ga 2.86
Ga (0.0877, 0.3145, 0.8785) x12  4 Al 2.62-2.86

Properties
Its size of the total moment is 0.00 μB per cell.

Arrangement Q

A geometry-optimized CaAl3Ga3 structure, computed with PBE.

Cell: 7.0891 7.0891 7.0891 Å, 90.00 90.00 90.00°
Closest atoms and distances in Å follow each position.
Space group Pm-3n (No. 223)
Asymmetric unit:
Ca (0.0000, 0.0000, 0.0000) x2  12 Al 3.96, 12 Ga 3.96
Al (0.0000, 0.2500, 0.5000) x6  4 Ga 2.51
Ga (0.0000, 0.5000, 0.2500) x6  4 Al 2.51

Properties
Its size of the total moment is 0.00 μB per cell.

Verdict on stability: arrangement Q comes out at the bottom.

Arrangement P

A geometry-optimized CaAl4Ga2 structure, computed with PBE.

Cell: 8.0002 8.0002 4.1951 Å, 90.00 90.00 90.00°
Closest atoms and distances in Å follow each position.
Space group P4_2/mnm (No. 136)
Asymmetric unit:
Ca (0.0000, 0.0000, 0.0000) x2  6 Ga 3.18-3.27, 12 Al 3.52-3.54
Al (0.0859, 0.3427, 0.5000) x8  3 Ga 2.60-2.69, 2 Al 2.87-2.91
Ga (0.2109, 0.7891, 0.5000) x4  6 Al 2.60-2.69

Properties
Its size of the total moment is 0.00 μB per cell.

Arrangement Q

A geometry-optimized CaAl4Ga2 structure, computed with PBE.

Cell: 4.1879 15.3448 4.1855 Å, 90.00 90.00 90.00°
Closest atoms and distances in Å follow each position.
Space group Cmmm (No. 65)
Asymmetric unit:
Ca (0.0000, 0.0000, 0.0000) x2  8 Ga 3.21, 8 Al 3.52-3.58
Al (0.0000, 0.1843, 0.5000) x4  2 Ga 2.62, 4 Al 2.85-2.91
Al (0.0000, 0.3105, 0.0000) x4  2 Ga 2.67, 8 Al 2.80-2.96
Ga (0.0000, 0.4185, 0.5000) x4  1 Ga 2.50, 4 Al 2.62-2.67

Properties
Its size of the total moment is 0.00 μB per cell.

Verdict on stability: arrangement Q comes out at the bottom.